1.
VASP calculation (PBE) on a relaxed structure of In3TeSe.

ΔE_f (raw): -238 meV/atom
Offset from the most stable computed form: 0.00 eV per formula unit
V: 32.06 A^3/atom
Total magnetization: 0.0 μB per formula unit
Total DFT energy (no corrections): -3.21 eV/atom

Cell and atoms, written as extended XYZ:
```
10
Lattice="-1.048 5.282 -2.052 -4.780 -1.924 -2.510 -11.207 -0.366 4.780" Properties=species:S:1:pos:R:3 pbc="T T T"
In -8.755 -0.637 -1.216
In -6.784 2.970 -1.029
In -13.848 -0.057 2.879
In -8.281 3.630 1.433
In -3.187 3.049 -2.661
In -10.251 0.023 1.247
Te -11.314 2.936 1.197
Te -5.721 0.057 -0.979
Se -4.133 3.841 -0.141
Se -12.902 -0.848 0.359
```


2.
VASP calculation (PBE) on a relaxed structure of In3TeSe.

ΔE_f (raw): 384 meV/atom
Offset from the most stable computed form: 3.11 eV per formula unit
V: 42.20 A^3/atom
Total magnetization: 0.0 μB per formula unit
Total DFT energy (no corrections): -2.58 eV/atom

Cell and atoms, written as extended XYZ:
```
5
Lattice="-3.585 4.374 -1.860 0.406 -2.040 -5.578 -4.736 -3.486 0.930" Properties=species:S:1:pos:R:3 pbc="T T T"
In -1.792 2.187 -0.930
In 0.203 -1.020 -2.789
In -2.368 -1.743 0.465
Se -3.957 -0.575 -3.254
Te 0.000 0.000 0.000
```


3.
VASP calculation (PBE) on a relaxed structure of InTe2Se.

ΔE_f (raw): -2 meV/atom
V: 34.07 A^3/atom
Total magnetization: 0.0 μB per formula unit
Total DFT energy (no corrections): -3.13 eV/atom

Cell and atoms, written as extended XYZ:
```
4
Lattice="-1.825 -3.289 -1.733 3.594 -2.073 0.149 -1.883 -2.745 7.193" Properties=species:S:1:pos:R:3 pbc="T T T"
Te 0.000 0.000 0.000
Te 0.884 -2.681 -0.792
In -1.854 -3.017 2.730
Se 0.856 -2.409 3.671
```


4.
VASP calculation (PBE) on a relaxed structure of In2TeSe.

ΔE_f (raw): -137 meV/atom
Offset from the most stable computed form: 0.86 eV per formula unit
V: 26.65 A^3/atom
Total magnetization: 0.0 μB per formula unit
Total DFT energy (no corrections): -3.16 eV/atom

Cell and atoms, written as extended XYZ:
```
4
Lattice="-2.262 -2.932 -0.248 2.533 -1.327 -2.366 3.744 -3.388 5.909" Properties=species:S:1:pos:R:3 pbc="T T T"
In 1.784 -1.615 2.817
In 0.087 -0.079 0.138
Se 1.071 -2.976 0.171
Te 2.943 -4.670 3.125
```